VASP calculation (PBE) on an optimized crystal structure of TlPdPt2.

Results
- Final energy: -4.883 eV/atom
- Crystal system: tetragonal
- DOS(E_F): 3.9 states/eV/f.u.
- ΔE_f: 0.0271 eV per atom
- Mass density: 16.73 g cm⁻³

a b c (Å): 3.4722 3.4722 5.7697
angles (deg): 90.00 90.00 90.00
Closest atoms and distances in Å follow each position.
Element x y z (fractional)
Pt  0.0000  0.0000  0.2610  2 Pt 2.76-3.01, 4 Pd 2.82, 4 Tl 2.88
Pt  0.0000  0.0000  0.7390  2 Pt 2.76-3.01, 4 Pd 2.82, 4 Tl 2.88
Pd  0.5000  0.5000  0.5000  8 Pt 2.82, 2 Tl 2.88
Tl  0.5000  0.5000  0.0000  8 Pt 2.88, 2 Pd 2.88